# 1
A plane-wave DFT calculation with PBE-GGA was carried out for a geometry-optimized LiAc3Dy2Te6 structure.

a b c (Å): 10.1564 10.1564 9.0759
angles (deg): 102.89 102.89 25.81
With the nearest neighbours (Å) after each atom.
Sites, in units of the cell vectors:
Li (0.0000, 0.0000, 0.0000)  6 Te 3.07-3.08
Ac (0.0000, 0.0000, 0.5000)  6 Te 3.31-3.36
Ac (0.3344, 0.3344, 0.1659)  6 Te 3.31-3.38
Ac (0.6656, 0.6656, 0.8341)  6 Te 3.31-3.38
Dy (0.3326, 0.3326, 0.6605)  6 Te 3.09-3.12
Dy (0.6674, 0.6674, 0.3395)  6 Te 3.09-3.12
Te (0.1594, 0.1594, 0.0996)  1 Li 3.08, 2 Dy 3.12, 3 Ac 3.33-3.38
Te (0.1718, 0.1718, 0.5723)  3 Dy 3.09-3.10, 3 Ac 3.31
Te (0.4932, 0.4932, 0.7693)  2 Li 3.07, 1 Dy 3.11, 3 Ac 3.33-3.36
Te (0.5068, 0.5068, 0.2307)  2 Li 3.07, 1 Dy 3.11, 3 Ac 3.33-3.36
Te (0.8282, 0.8282, 0.4277)  3 Dy 3.09-3.10, 3 Ac 3.31
Te (0.8406, 0.8406, 0.9004)  1 Li 3.08, 2 Dy 3.12, 3 Ac 3.33-3.38

Output
Uncorrected formation energy, kJ/mol of formula units: -1600


# 2
A plane-wave DFT calculation with PBE-GGA was carried out for a geometry-optimized LiAc3Dy3Te8 structure.

a b c (Å): 9.1100 9.1100 9.1100
angles (deg): 58.97 58.97 58.97
With the nearest neighbours (Å) after each atom.
Sites, in units of the cell vectors:
Li (0.0000, 0.0000, 0.0000)  6 Te 3.14
Ac (0.0000, 0.0000, 0.5000)  6 Te 3.31
Ac (0.0000, 0.5000, 0.0000)  6 Te 3.31
Ac (0.5000, 0.0000, 0.0000)  6 Te 3.31
Dy (0.0000, 0.5000, 0.5000)  6 Te 3.09
Dy (0.5000, 0.0000, 0.5000)  6 Te 3.09
Dy (0.5000, 0.5000, 0.0000)  6 Te 3.09
Te (0.2454, 0.2454, 0.7380)  2 Dy 3.09, 1 Li 3.14, 2 Ac 3.31
Te (0.2454, 0.7380, 0.2454)  2 Dy 3.09, 1 Li 3.14, 2 Ac 3.31
Te (0.2585, 0.2585, 0.2585)  3 Dy 3.09, 3 Ac 3.31
Te (0.2620, 0.7546, 0.7546)  2 Dy 3.09, 1 Li 3.14, 2 Ac 3.31
Te (0.7380, 0.2454, 0.2454)  2 Dy 3.09, 1 Li 3.14, 2 Ac 3.31
Te (0.7415, 0.7415, 0.7415)  3 Dy 3.09, 3 Ac 3.31
Te (0.7546, 0.2620, 0.7546)  2 Dy 3.09, 1 Li 3.14, 2 Ac 3.31
Te (0.7546, 0.7546, 0.2620)  2 Dy 3.09, 1 Li 3.14, 2 Ac 3.31

Output
Uncorrected formation energy, kJ/mol of formula units: -2015


Question: Among the records above, which one has the lowest uncorrected formation energy?
Answer: LiAc3Dy3Te8


Question: Which of these has the lowest uncorrected formation energy?
Answer: LiAc3Dy3Te8


Please write out number 1 again, unchanged.
A plane-wave DFT calculation with PBE-GGA was carried out for a geometry-optimized LiAc3Dy2Te6 structure.

a b c (Å): 10.1564 10.1564 9.0759
angles (deg): 102.89 102.89 25.81
With the nearest neighbours (Å) after each atom.
Sites, in units of the cell vectors:
Li (0.0000, 0.0000, 0.0000)  6 Te 3.07-3.08
Ac (0.0000, 0.0000, 0.5000)  6 Te 3.31-3.36
Ac (0.3344, 0.3344, 0.1659)  6 Te 3.31-3.38
Ac (0.6656, 0.6656, 0.8341)  6 Te 3.31-3.38
Dy (0.3326, 0.3326, 0.6605)  6 Te 3.09-3.12
Dy (0.6674, 0.6674, 0.3395)  6 Te 3.09-3.12
Te (0.1594, 0.1594, 0.0996)  1 Li 3.08, 2 Dy 3.12, 3 Ac 3.33-3.38
Te (0.1718, 0.1718, 0.5723)  3 Dy 3.09-3.10, 3 Ac 3.31
Te (0.4932, 0.4932, 0.7693)  2 Li 3.07, 1 Dy 3.11, 3 Ac 3.33-3.36
Te (0.5068, 0.5068, 0.2307)  2 Li 3.07, 1 Dy 3.11, 3 Ac 3.33-3.36
Te (0.8282, 0.8282, 0.4277)  3 Dy 3.09-3.10, 3 Ac 3.31
Te (0.8406, 0.8406, 0.9004)  1 Li 3.08, 2 Dy 3.12, 3 Ac 3.33-3.38

Output
Uncorrected formation energy, kJ/mol of formula units: -1600


Question: Among the records above, which one has the lowest uncorrected formation energy?
Answer: LiAc3Dy3Te8